Entry 1:
This record from the Alexandria database describes a relaxed structure of Cu2IrRu. The functional is GGA-PBEsol.

Output
V (Å³/cell): 104
Uncorrected energy (eV per atom): -6.8416

Cell: 2.6740 4.4447 8.7532 Å, 90.00 90.00 90.00°
Space group Cmmm (No. 65)
Symmetry-distinct sites (fractional):
Cu (0.0000, 0.0000, 0.2483) (multiplicity 4)
Ir (0.0000, 0.5000, 0.5000) (multiplicity 2)
Ru (0.0000, 0.5000, 0.0000) (multiplicity 2)

Entry 2:
This record from the Alexandria database describes a relaxed structure of CuIr2Ru. The functional is GGA-PBEsol.

Output
V (Å³/cell): 217
Uncorrected energy (eV per atom): -8.1078

Cell: 6.0093 6.0093 6.0093 Å, 90.00 90.00 90.00°
Space group F-43m (No. 216)
Symmetry-distinct sites (fractional):
Cu (0.0000, 0.0000, 0.0000) (multiplicity 4)
Ir (0.0000, 0.0000, 0.5000) (multiplicity 4)
Ir (0.2500, 0.2500, 0.7500) (multiplicity 4)
Ru (0.2500, 0.2500, 0.2500) (multiplicity 4)

Entry 3:
This record from the Alexandria database describes a relaxed structure of CuIr2Ru. The functional is GGA-PBEsol.

Output
V (Å³/cell): 54
Uncorrected energy (eV per atom): -8.1338

Cell: 4.4823 4.4823 2.7044 Å, 90.00 90.00 90.00°
Space group P4/mmm (No. 123)
Symmetry-distinct sites (fractional):
Cu (0.0000, 0.0000, 0.0000) (multiplicity 1)
Ir (0.0000, 0.5000, 0.5000) (multiplicity 2)
Ru (0.5000, 0.5000, 0.0000) (multiplicity 1)

Entry 4:
This record from the Alexandria database describes a relaxed structure of CuIr2Ru. The functional is GGA-PBEsol.

Output
V (Å³/cell): 53
Uncorrected energy (eV per atom): -8.4644

Cell: 2.6917 3.7198 5.3018 Å, 90.00 90.00 90.00°
Space group Pmmm (No. 47)
Symmetry-distinct sites (fractional):
Cu (0.0000, 0.0000, 0.0000) (multiplicity 1)
Ir (0.5000, 0.5000, 0.2473) (multiplicity 2)
Ru (0.0000, 0.0000, 0.5000) (multiplicity 1)

Entry 5:
This record from the Alexandria database describes a relaxed structure of CuIr2Ru. The functional is GGA-PBEsol.

Output
V (Å³/cell): 106
Uncorrected energy (eV per atom): -8.3916

Cell: 3.7224 3.7224 7.6773 Å, 90.00 90.00 90.00°
Space group I-4m2 (No. 119)
Symmetry-distinct sites (fractional):
Cu (0.0000, 0.0000, 0.0000) (multiplicity 2)
Ir (0.0000, 0.0000, 0.5000) (multiplicity 2)
Ir (0.0000, 0.5000, 0.2500) (multiplicity 2)
Ru (0.0000, 0.5000, 0.7500) (multiplicity 2)

Entry 6:
This record from the Alexandria database describes a relaxed structure of CuIrRu. The functional is GGA-PBEsol.

Output
V (Å³/cell): 78
Uncorrected energy (eV per atom): -7.9936

Cell: 2.6991 3.6949 7.8111 Å, 90.00 90.00 90.00°
Space group Imm2 (No. 44)
Symmetry-distinct sites (fractional):
Cu (0.0000, 0.0000, 0.0000) (multiplicity 2)
Ir (0.0000, 0.0000, 0.3324) (multiplicity 2)
Ru (0.0000, 0.0000, 0.6670) (multiplicity 2)

Entry 7:
This record from the Alexandria database describes a relaxed structure of CuIr2Ru. The functional is GGA-PBEsol.

Output
V (Å³/cell): 53
Uncorrected energy (eV per atom): -8.4947

Cell: 2.6954 2.6954 7.3092 Å, 90.00 90.00 90.00°
Space group P4/mmm (No. 123)
Symmetry-distinct sites (fractional):
Cu (0.0000, 0.0000, 0.0000) (multiplicity 1)
Ir (0.5000, 0.5000, 0.2488) (multiplicity 2)
Ru (0.0000, 0.0000, 0.5000) (multiplicity 1)

Entry 8:
This record from the Alexandria database describes a relaxed structure of Cu2IrRu. The functional is GGA-PBEsol.

Output
V (Å³/cell): 51
Uncorrected energy (eV per atom): -7.0860

Cell: 2.6944 2.6944 6.9622 Å, 90.00 90.00 90.00°
Space group P4mm (No. 99)
Symmetry-distinct sites (fractional):
Cu (0.0000, 0.0000, 0.0000) (multiplicity 1)
Cu (0.5000, 0.5000, 0.2263) (multiplicity 1)
Ir (0.0000, 0.0000, 0.4891) (multiplicity 1)
Ru (0.5000, 0.5000, 0.7412) (multiplicity 1)

Entry 9:
This record from the Alexandria database describes a relaxed structure of Cu2IrRu. The functional is GGA-PBEsol.

Output
V (Å³/cell): 153
Uncorrected energy (eV per atom): -6.9550

Cell: 2.6364 2.6364 25.4589 Å, 90.00 90.00 120.00°
Space group R-3m (No. 166, hexagonal axes)
Symmetry-distinct sites (fractional):
Cu (0.0000, 0.0000, 0.2494) (multiplicity 6)
Ir (0.0000, 0.0000, 0.0000) (multiplicity 3)
Ru (0.0000, 0.0000, 0.5000) (multiplicity 3)

Entry 10:
This record from the Alexandria database describes a relaxed structure of Cu2IrRu. The functional is GGA-PBEsol.

Output
V (Å³/cell): 102
Uncorrected energy (eV per atom): -6.9663

Cell: 8.5960 2.6376 4.5695 Å, 90.00 100.07 90.00°
Space group C2/m (No. 12)
Symmetry-distinct sites (fractional):
Cu (0.2498, 0.0000, 0.2486) (multiplicity 4)
Ir (0.0000, 0.0000, 0.5000) (multiplicity 2)
Ru (0.0000, 0.5000, 0.0000) (multiplicity 2)

Entry 11:
This record from the Alexandria database describes a relaxed structure of Cu3IrS. The functional is GGA-PBEsol.

Output
V (Å³/cell): 71
E_form (uncorrected) (eV per atom): 0.711

Cell: 4.1352 4.1352 4.1352 Å, 90.00 90.00 90.00°
Space group Pm-3m (No. 221)
Symmetry-distinct sites (fractional):
Cu (0.0000, 0.0000, 0.5000) (multiplicity 3)
Ir (0.5000, 0.5000, 0.5000) (multiplicity 1)
S (0.0000, 0.0000, 0.0000) (multiplicity 1)

Entry 12:
This record from the Alexandria database describes a relaxed structure of Cu2SnIrS. The functional is GGA-PBEsol.

Output
V (Å³/cell): 91
E_form (uncorrected) (eV per atom): 0.621

Cell: 4.0533 4.0533 5.5207 Å, 90.00 90.00 90.00°
Space group P4/mmm (No. 123)
Symmetry-distinct sites (fractional):
Cu (0.0000, 0.5000, 0.0000) (multiplicity 2)
Sn (0.0000, 0.0000, 0.5000) (multiplicity 1)
Ir (0.5000, 0.5000, 0.5000) (multiplicity 1)
S (0.0000, 0.0000, 0.0000) (multiplicity 1)

Entry 13:
This record from the Alexandria database describes a relaxed structure of Cu2SbIr. The functional is GGA-PBEsol.

Output
V (Å³/cell): 59
E_form (uncorrected) (eV per atom): 0.203

Cell: 3.0572 3.6947 5.2219 Å, 90.00 90.00 90.00°
Space group Pmmm (No. 47)
Symmetry-distinct sites (fractional):
Cu (0.0000, 0.0000, 0.2354) (multiplicity 2)
Sb (0.5000, 0.5000, 0.5000) (multiplicity 1)
Ir (0.5000, 0.5000, 0.0000) (multiplicity 1)

Entry 14:
This record from the Alexandria database describes a relaxed structure of CuSbIr3. The functional is GGA-PBEsol.

Output
V (Å³/cell): 89
E_form (uncorrected) (eV per atom): 1.415

Cell: 4.4577 4.4577 4.4577 Å, 90.00 90.00 90.00°
Space group Pm-3m (No. 221)
Symmetry-distinct sites (fractional):
Cu (0.0000, 0.0000, 0.0000) (multiplicity 1)
Sb (0.5000, 0.5000, 0.5000) (multiplicity 1)
Ir (0.0000, 0.0000, 0.5000) (multiplicity 3)

Entry 15:
This record from the Alexandria database describes a relaxed structure of Cu2SbIr. The functional is GGA-PBEsol.

Output
V (Å³/cell): 117
E_form (uncorrected) (eV per atom): 0.190

Cell: 5.2300 7.2944 3.0712 Å, 90.00 90.00 90.00°
Space group Cmmm (No. 65)
Symmetry-distinct sites (fractional):
Cu (0.2500, 0.2500, 0.0000) (multiplicity 4)
Sb (0.0000, 0.0000, 0.5000) (multiplicity 2)
Ir (0.0000, 0.5000, 0.5000) (multiplicity 2)

Entry 16:
This record from the Alexandria database describes a relaxed structure of CuSbIr4. The functional is GGA-PBEsol.

Output
V (Å³/cell): 394
E_form (uncorrected) (eV per atom): 0.549

Cell: 7.3308 7.3308 7.3308 Å, 90.00 90.00 90.00°
Space group F-43m (No. 216)
Symmetry-distinct sites (fractional):
Cu (0.0000, 0.0000, 0.0000) (multiplicity 4)
Sb (0.2500, 0.2500, 0.7500) (multiplicity 4)
Ir (0.1253, 0.1253, 0.3747) (multiplicity 16)

Entry 17:
This record from the Alexandria database describes a relaxed structure of CuSb3Ir. The functional is GGA-PBEsol.

Output
V (Å³/cell): 113
E_form (uncorrected) (eV per atom): 0.979

Cell: 4.8337 4.8337 4.8337 Å, 90.00 90.00 90.00°
Space group Pm-3m (No. 221)
Symmetry-distinct sites (fractional):
Cu (0.0000, 0.0000, 0.0000) (multiplicity 1)
Sb (0.0000, 0.0000, 0.5000) (multiplicity 3)
Ir (0.5000, 0.5000, 0.5000) (multiplicity 1)

Entry 18:
This record from the Alexandria database describes a relaxed structure of Sc2CuIr. The functional is GGA-PBEsol.

Output
V (Å³/cell): 65
Uncorrected energy (eV per atom): -7.5048

Cell: 4.5672 4.5672 3.1334 Å, 90.00 90.00 90.00°
Space group P4/mmm (No. 123)
Symmetry-distinct sites (fractional):
Sc (0.0000, 0.5000, 0.0000) (multiplicity 2)
Cu (0.0000, 0.0000, 0.5000) (multiplicity 1)
Ir (0.5000, 0.5000, 0.5000) (multiplicity 1)

Entry 19:
This record from the Alexandria database describes a relaxed structure of Sc2CuIr. The functional is GGA-PBEsol.

Output
V (Å³/cell): 251
Uncorrected energy (eV per atom): -7.2272

Cell: 6.3049 6.3049 6.3049 Å, 90.00 90.00 90.00°
Space group F-43m (No. 216)
Symmetry-distinct sites (fractional):
Sc (0.0000, 0.0000, 0.0000) (multiplicity 4)
Sc (0.2500, 0.2500, 0.2500) (multiplicity 4)
Cu (0.0000, 0.0000, 0.5000) (multiplicity 4)
Ir (0.2500, 0.2500, 0.7500) (multiplicity 4)

Entry 20:
This record from the Alexandria database describes a relaxed structure of Sc2CuIr. The functional is GGA-PBEsol.

Output
V (Å³/cell): 130
Uncorrected energy (eV per atom): -7.3025

Cell: 3.9017 3.9017 8.5212 Å, 90.00 90.00 90.00°
Space group I-4m2 (No. 119)
Symmetry-distinct sites (fractional):
Sc (0.0000, 0.0000, 0.0000) (multiplicity 2)
Sc (0.0000, 0.5000, 0.2500) (multiplicity 2)
Cu (0.0000, 0.0000, 0.5000) (multiplicity 2)
Ir (0.0000, 0.5000, 0.7500) (multiplicity 2)